*w*
This record from Alexandria via LeMat-Bulk describes NaAsAuSe2 after structural relaxation. The functional is PBE.

Cell lengths 5.353, 5.353, 4.857 Å; angles 90.00, 90.00, 90.00 degrees
Sites, in units of the cell vectors:
Na  0.500  0.500  0.500
As  0.000  0.000  0.500
Au  0.000  0.000  0.000
Se  0.000  0.500  0.000
Se  0.500  0.000  0.000

Calculated values
For the density of states at the Fermi level, the calculation gives 3.4 states/eV/cell. Its total moment is 0.0 μB/f.u.

=====

*x*
This record from Alexandria via LeMat-Bulk describes NaAsAuSe2 after structural relaxation. The functional is PBE.

Cell lengths 5.048, 5.048, 5.022 Å; angles 90.00, 90.00, 90.00 degrees
Sites, in units of the cell vectors:
Na  0.000  0.000  0.000
As  0.000  0.000  0.500
Au  0.500  0.500  0.500
Se  0.000  0.500  0.000
Se  0.500  0.000  0.000

Calculated values
For the density of states at the Fermi level, the calculation gives 5.9 states/eV/cell. Its total moment is 0.0 μB/f.u.

=====

Top of the stability list: *w*, leading by 781 meV per atom.

=====

*w*
This record from Alexandria via LeMat-Bulk describes NbAsAu3 after structural relaxation. The functional is PBE.

Cell lengths 4.792, 4.792, 4.792 Å; angles 90.00, 90.00, 90.00 degrees
Sites, in units of the cell vectors:
Nb  0.500  0.500  0.500
Au  0.000  0.500  0.000
Au  0.000  0.000  0.500
Au  0.500  0.000  0.000
As  0.000  0.000  0.000

Calculated values
For the density of states at the Fermi level, the calculation gives 3.2 states/eV/cell. Its total moment is 0.0 μB/f.u.

=====

*x*
This record from Alexandria via LeMat-Bulk describes NbAsAu3 after structural relaxation. The functional is PBE.

Cell lengths 5.100, 5.100, 5.100 Å; angles 90.00, 90.00, 90.00 degrees
Sites, in units of the cell vectors:
Nb  0.000  0.000  0.000
Au  0.000  0.500  0.000
Au  0.000  0.000  0.500
Au  0.500  0.000  0.000
As  0.500  0.500  0.500

Calculated values
For the density of states at the Fermi level, the calculation gives 5.5 states/eV/cell. Its total moment is 0.0 μB/f.u.

=====

Top of the stability list: *w*, leading by 329 meV per atom.

=====

*w*
This record from Alexandria via LeMat-Bulk describes NbReAsAu2 after structural relaxation. The functional is PBE.

Cell lengths 5.140, 4.863, 5.140 Å; angles 90.00, 90.00, 90.00 degrees
Each line ends with the local moment (μB).
Sites, in units of the cell vectors:
Re  0.500  0.500  0.500  3.91
Nb  0.000  0.000  0.000  0.13
Au  0.000  0.000  0.500  0.07
Au  0.500  0.000  0.000  0.05
As  0.000  0.500  0.000  0.02

Calculated values
For the density of states at the Fermi level, the calculation gives 3.7 states/eV/cell. Its total moment is 5.0 μB/f.u.

=====

*x*
This record from Alexandria via LeMat-Bulk describes NbReAsAu2 after structural relaxation. The functional is PBE.

Cell lengths 5.090, 4.586, 5.090 Å; angles 90.00, 90.00, 90.00 degrees
Each line ends with the local moment (μB).
Sites, in units of the cell vectors:
Re  0.000  0.000  0.000  0.03
Nb  0.500  0.500  0.500  2.40
Au  0.000  0.000  0.500  -0.02
Au  0.500  0.000  0.000  0.00
As  0.000  0.500  0.000  -0.02

Calculated values
For the density of states at the Fermi level, the calculation gives 5.1 states/eV/cell. Its total moment is 3.0 μB/f.u.

=====

Top of the stability list: *x*, leading by 449 meV per atom.